1.
## KAg2Mo (PBE)

Data for crystalline KAg2Mo at its relaxed geometry.

```
KAg2Mo
1.0
8.153 0.000 0.000
0.000 8.153 0.000
4.077 4.077 3.192
Mo K Ag
2 2 4
Cartesian
0.000 0.000 0.000
8.153 4.077 1.596
4.077 4.077 0.000
4.077 8.153 1.596
6.443 2.038 0.798
1.710 6.115 0.798
6.115 5.786 2.394
10.192 10.520 2.394
```

Output
N(E_F): 4.025 states/eV per cell
Formation energy: 1.127 eV/atom
Offset from the most stable computed form: 0.513 eV/atom
Theoretical density: 5.49 g/cm3

***

2.
## Be2InSe (PBE)

Data for crystalline Be2InSe at its relaxed geometry.

```
Be2InSe
1.0
3.400 0.000 0.000
0.000 4.149 -0.036
0.000 0.059 5.278
Be Se In
2 1 1
Cartesian
0.000 3.117 0.241
0.000 3.136 2.345
1.700 3.156 3.932
1.700 1.052 1.311
```

Output
N(E_F): 1.522 states/eV per cell
Offset from the most stable computed form: 0.061 eV/atom
Theoretical density: 4.72 g/cm3

***

3.
## LiPr3In2 (PBE)

Data for crystalline LiPr3In2 at its relaxed geometry.

```
LiPr3In2
1.0
3.773 0.000 0.000
0.000 3.773 0.000
0.000 0.000 12.329
Li Pr In
1 3 2
Cartesian
1.887 1.887 6.164
0.000 0.000 0.000
0.000 0.000 8.174
0.000 0.000 4.155
1.887 1.887 10.169
1.887 1.887 2.160
```

Output
N(E_F): 5.273 states/eV per cell
Formation energy: -0.308 eV/atom
Offset from the most stable computed form: 0.033 eV/atom
Theoretical density: 6.24 g/cm3

***

4.
## HfBeCoRh (PBE)

Data for crystalline HfBeCoRh at its relaxed geometry.

```
HfBeCoRh
1.0
4.240 0.000 0.000
2.120 3.672 0.000
2.120 1.224 3.462
Rh Hf Be Co
1 1 1 1
Cartesian
2.120 1.224 0.865
4.240 2.448 1.731
0.000 0.000 0.000
6.360 3.672 2.596
```

Output
N(E_F): 1.079 states/eV per cell
Formation energy: -0.515 eV/atom
Theoretical density: 10.76 g/cm3

***

> theoretical density of number 4 (HfBeCoRh)?

10.76 g/cm3

***

> What is the theoretical density in the first record?

5.49 g/cm3